# 1
Density functional theory data (PBE) for a relaxed LaTb2Mn crystal.

a b c (Å): 3.5195 3.5195 9.2274
angles (deg): 90.00 90.00 90.00
Closest atoms and distances in Å follow each position.
Element x y z (fractional)
Tb  0.0000  0.0000  0.8110  4 Mn 3.04
Tb  0.0000  0.0000  0.1890  4 Mn 3.04
La  0.5000  0.5000  0.5000  4 La 3.52, 8 Tb 3.80
Mn  0.5000  0.5000  0.0000  8 Tb 3.04

Formation energy ... 0.13 eV per atom
M_tot ... 2.95 Bohr magnetons per cell
Symmetry ... P4/mmm, No. 123
E ... -5.71 eV/atom
E above lowest polymorph ... 0.0 meV per atom
Density ... 7.43 g cm⁻³


# 2
Density functional theory data (PBE) for a relaxed Pm8AlSn6 crystal.

a b c (Å): 9.3568 9.3568 8.3799
angles (deg): 56.06 56.06 60.00
Closest atoms and distances in Å follow each position.
Element x y z (fractional)
Pm  0.1831  0.8959  0.2913  5 Sn 3.11-3.36, 1 Al 3.19
Pm  0.6297  0.1831  0.2913  5 Sn 3.11-3.36, 1 Al 3.19
Pm  0.8169  0.1041  0.7087  5 Sn 3.11-3.36, 1 Al 3.19
Pm  0.8959  0.6297  0.2913  5 Sn 3.11-3.36, 1 Al 3.19
Pm  0.3703  0.8169  0.7087  5 Sn 3.11-3.36, 1 Al 3.19
Pm  0.6675  0.6675  0.9975  6 Sn 3.24-3.30
Pm  0.1041  0.3703  0.7087  5 Sn 3.11-3.36, 1 Al 3.19
Pm  0.3325  0.3325  0.0025  6 Sn 3.24-3.30
Sn  0.9322  0.2947  0.2146  7 Pm 3.11-3.36
Sn  0.0678  0.7053  0.7854  7 Pm 3.11-3.36
Sn  0.5585  0.9322  0.2146  7 Pm 3.11-3.36
Sn  0.7053  0.4415  0.7854  7 Pm 3.11-3.36
Sn  0.4415  0.0678  0.7854  7 Pm 3.11-3.36
Sn  0.2947  0.5585  0.2146  7 Pm 3.11-3.36
Al  0.0000  0.0000  0.0000  6 Pm 3.19

Formation energy ... -0.55 eV per atom
M_tot ... 0.00 Bohr magnetons per cell
Symmetry ... R-3, No. 148
E ... -4.93 eV/atom
Density ... 6.49 g cm⁻³